(1)
! YCoBr, optimized geometry, DFT PBE-GGA; values from VASP
&SYSTEM
  ibrav = 0, nat = 3, ntyp = 3
/
ATOMIC_SPECIES
Y 88.91 Y.upf
Co 58.93 Co.upf
Br 79.90 Br.upf
ATOMIC_POSITIONS crystal
Y 0.000 0.000 0.000
Co 0.333 0.667 0.500
Br 0.667 0.333 0.500
CELL_PARAMETERS angstrom
4.209 0.000 0.000
-2.104 3.645 0.000
0.000 0.000 3.663
! Total magnetic moment: 0.00 μB/f.u.
! Space-group type: P-6m2 (187)
! Density of states at the Fermi level: 1.03 states/eV per cell
! ΔE_f (raw): -0.24 eV per atom

---

(2)
! CrPd15Pb4, optimized geometry, DFT PBE-GGA; values from VASP
&SYSTEM
  ibrav = 0, nat = 20, ntyp = 3
/
ATOMIC_SPECIES
Cr 52.00 Cr.upf
Pd 106.42 Pd.upf
Pb 207.20 Pb.upf
ATOMIC_POSITIONS crystal
Cr 0.000 0.000 0.000
Pd 0.000 0.500 0.091
Pd 0.000 0.500 0.296
Pd 0.000 0.500 0.500
Pd 0.000 0.500 0.704
Pd 0.000 0.500 0.909
Pd 0.500 0.000 0.091
Pd 0.500 0.000 0.296
Pd 0.500 0.000 0.500
Pd 0.500 0.000 0.704
Pd 0.500 0.000 0.909
Pd 0.500 0.500 0.000
Pd 0.500 0.500 0.194
Pd 0.500 0.500 0.398
Pd 0.500 0.500 0.602
Pd 0.500 0.500 0.806
Pb 0.000 0.000 0.194
Pb 0.000 0.000 0.398
Pb 0.000 0.000 0.602
Pb 0.000 0.000 0.806
CELL_PARAMETERS angstrom
4.079 0.000 0.000
0.000 4.079 0.000
0.000 0.000 20.258
! Total magnetic moment: 2.95 μB/f.u.
! Space-group type: P4/mmm (123)
! Density of states at the Fermi level: 12.79 states/eV per cell
! Calculated formation energy: -0.234 eV per atom

---

(3)
! CsSbPS6, optimized geometry, DFT PBE-GGA; values from VASP
&SYSTEM
  ibrav = 0, nat = 9, ntyp = 4
/
ATOMIC_SPECIES
Cs 132.91 Cs.upf
Sb 121.76 Sb.upf
P 30.97 P.upf
S 32.06 S.upf
ATOMIC_POSITIONS crystal
Cs 0.000 0.000 0.000
Sb 0.333 0.667 0.500
P 0.667 0.333 0.500
S 0.387 0.040 0.667
S 0.387 0.347 0.333
S 0.653 0.040 0.333
S 0.653 0.613 0.667
S 0.960 0.347 0.667
S 0.960 0.613 0.333
CELL_PARAMETERS angstrom
6.098 0.000 0.000
-3.049 5.281 0.000
0.000 0.000 8.308
! Total magnetic moment: 0.01 μB/f.u.
! Space-group type: P312 (149)
! Density of states at the Fermi level: 9.39 states/eV per cell
! ΔE_f (raw): -0.16 eV per atom

---

(4)
! TlCdIn, optimized geometry, DFT PBE-GGA; values from VASP
&SYSTEM
  ibrav = 0, nat = 6, ntyp = 3
/
ATOMIC_SPECIES
Tl 204.38 Tl.upf
Cd 112.41 Cd.upf
In 114.82 In.upf
ATOMIC_POSITIONS crystal
Tl 0.172 0.172 0.092
Tl 0.828 0.828 0.908
Cd 0.161 0.161 0.575
Cd 0.839 0.839 0.425
In 0.488 0.488 0.730
In 0.512 0.512 0.270
CELL_PARAMETERS angstrom
5.164 -2.326 0.000
5.164 2.326 0.000
-2.482 0.000 6.785
! Total magnetic moment: 0.00 μB/f.u.
! Space-group type: C2/m (12)
! Density of states at the Fermi level: 2.88 states/eV per cell
! Calculated formation energy: 0.043 eV per atom

---

(5)
! DyTh5Sb4, optimized geometry, DFT PBE-GGA; values from VASP
&SYSTEM
  ibrav = 0, nat = 10, ntyp = 3
/
ATOMIC_SPECIES
Dy 162.50 Dy.upf
Th 232.04 Th.upf
Sb 121.76 Sb.upf
ATOMIC_POSITIONS crystal
Dy 0.000 0.000 0.000
Th 0.000 0.000 0.500
Th 0.316 0.316 0.646
Th 0.335 0.335 0.203
Th 0.665 0.665 0.797
Th 0.684 0.684 0.354
Sb 0.166 0.166 0.070
Sb 0.491 0.491 0.754
Sb 0.509 0.509 0.246
Sb 0.834 0.834 0.930
CELL_PARAMETERS angstrom
9.317 -2.119 0.000
9.317 2.119 0.000
-1.820 0.000 8.541
! Total magnetic moment: 0.00 μB/f.u.
! Space-group type: C2/m (12)
! Density of states at the Fermi level: 10.00 states/eV per cell
! ΔE_f (raw): -0.49 eV per atom

---

(6)
! Sr2TiGaS5, optimized geometry, DFT PBE-GGA; values from VASP
&SYSTEM
  ibrav = 0, nat = 18, ntyp = 4
/
ATOMIC_SPECIES
Sr 87.62 Sr.upf
Ti 47.87 Ti.upf
Ga 69.72 Ga.upf
S 32.06 S.upf
ATOMIC_POSITIONS crystal
Sr 0.120 0.880 0.500
Sr 0.132 0.868 0.129
Sr 0.868 0.132 0.629
Sr 0.880 0.120 0.000
Ti 0.214 0.786 0.842
Ti 0.786 0.214 0.342
Ga 0.438 0.562 0.253
Ga 0.562 0.438 0.753
S 0.055 0.945 0.861
S 0.292 0.708 0.472
S 0.309 0.691 0.198
S 0.350 0.650 0.819
S 0.500 0.500 0.093
S 0.500 0.500 0.593
S 0.650 0.350 0.319
S 0.691 0.309 0.698
S 0.708 0.292 0.972
S 0.945 0.055 0.361
CELL_PARAMETERS angstrom
1.913 -8.678 0.000
1.913 8.678 0.000
0.000 0.000 12.249
! Total magnetic moment: 1.00 μB/f.u.
! Space-group type: Cmc2_1 (36)
! Density of states at the Fermi level: 7.09 states/eV per cell
! ΔE_f (raw): -1.50 eV per atom

---

(7)
! Er2Cd2Ag3, optimized geometry, DFT PBE-GGA; values from VASP
&SYSTEM
  ibrav = 0, nat = 7, ntyp = 3
/
ATOMIC_SPECIES
Er 167.26 Er.upf
Cd 112.41 Cd.upf
Ag 107.87 Ag.upf
ATOMIC_POSITIONS crystal
Er 0.216 0.431 0.155
Er 0.784 0.569 0.845
Cd 0.370 0.740 0.597
Cd 0.630 0.260 0.403
Ag 0.074 0.148 0.707
Ag 0.500 0.000 0.000
Ag 0.926 0.852 0.293
CELL_PARAMETERS angstrom
4.957 0.000 0.000
-2.470 4.340 0.000
-0.059 -2.699 7.126
! Total magnetic moment: 0.00 μB/f.u.
! Space-group type: P-1 (2)
! Density of states at the Fermi level: 1.41 states/eV per cell
! Calculated formation energy: -0.245 eV per atom

---

(8)
! CrGe2Os2, optimized geometry, DFT PBE-GGA; values from VASP
&SYSTEM
  ibrav = 0, nat = 5, ntyp = 3
/
ATOMIC_SPECIES
Cr 52.00 Cr.upf
Ge 72.64 Ge.upf
Os 190.23 Os.upf
ATOMIC_POSITIONS crystal
Cr 0.000 0.000 0.000
Ge 0.380 0.380 0.000
Ge 0.620 0.620 0.000
Os 0.250 0.750 0.500
Os 0.750 0.250 0.500
CELL_PARAMETERS angstrom
-2.076 2.076 4.808
2.076 -2.076 4.808
2.076 2.076 -4.808
! Total magnetic moment: 0.52 μB/f.u.
! Energy above the lowest structure with this stoichiometry: 1.365 eV per formula unit
! Space-group type: I4/mmm (139)
! Density of states at the Fermi level: 5.57 states/eV per cell
! Calculated formation energy: 0.710 eV per atom